--- w ---
VASP calculation (PBE-GGA) on AlTcOs3 after structural relaxation.

Values from the calculation:
Density of states at the Fermi level   3.71 states/eV/cell

abc: 4.361 4.361 4.361
angles: 90.00 90.00 90.00
Site moments in Bohr magnetons follow the coordinates.
Element x y z (fractional)
1 Tc 0.500 0.500 0.500  1.95
2 Os 0.500 0.000 0.000  -0.08
3 Os 0.000 0.000 0.500  -0.03
4 Os 0.000 0.500 0.000  -0.09
5 Al 0.000 0.000 0.000  0.00

***

--- x ---
VASP calculation (PBE-GGA) on AlTcOs3 after structural relaxation.

Values from the calculation:
Density of states at the Fermi level   6.84 states/eV/cell

abc: 4.648 4.648 4.648
angles: 90.00 90.00 90.00
Element x y z (fractional)
1 Tc 0.000 0.000 0.000
2 Al 0.500 0.500 0.500
3 Os 0.000 0.500 0.000
4 Os 0.000 0.000 0.500
5 Os 0.500 0.000 0.000

***

The most stable of them is w.

***

--- w ---
VASP calculation (PBE-GGA) on Al4TcOs after structural relaxation.

Values from the calculation:
Density of states at the Fermi level   2.10 states/eV/cell

abc: 4.940 4.940 4.940
angles: 60.00 60.00 60.00
Element x y z (fractional)
1 Al 0.625 0.625 0.125
2 Al 0.625 0.625 0.625
3 Al 0.125 0.625 0.625
4 Al 0.625 0.125 0.625
5 Os 0.250 0.250 0.250
6 Tc 0.000 0.000 0.000

***

--- x ---
VASP calculation (PBE-GGA) on Al4TcOs after structural relaxation.

Values from the calculation:
Density of states at the Fermi level   8.62 states/eV/cell

abc: 5.895 5.897 5.938
angles: 90.00 90.04 90.00
Element x y z (fractional)
1 Os 0.500 0.500 0.000
2 Os 0.000 0.000 0.000
3 Al 0.250 0.750 0.754
4 Al 0.750 0.750 0.246
5 Al 0.250 0.250 0.754
6 Al 0.750 0.250 0.754
7 Al 0.250 0.750 0.246
8 Al 0.750 0.750 0.754
9 Al 0.250 0.250 0.246
10 Al 0.750 0.250 0.246
11 Tc 0.500 0.000 0.500
12 Tc 0.000 0.500 0.500

***

The most stable of them is x.

***

--- w ---
VASP calculation (PBE-GGA) on AlTeOs3 after structural relaxation.

Values from the calculation:
Density of states at the Fermi level   4.19 states/eV/cell

abc: 4.775 4.775 4.775
angles: 90.00 90.00 90.00
Element x y z (fractional)
1 Al 0.500 0.500 0.500
2 Os 0.000 0.500 0.000
3 Os 0.500 0.000 0.000
4 Os 0.000 0.000 0.500
5 Te 0.000 0.000 0.000

***

--- x ---
VASP calculation (PBE-GGA) on AlTeOs3 after structural relaxation.

Values from the calculation:
Density of states at the Fermi level   7.19 states/eV/cell

abc: 4.509 4.509 4.509
angles: 90.00 90.00 90.00
Element x y z (fractional)
1 Os 0.000 0.000 0.500
2 Os 0.000 0.500 0.000
3 Os 0.500 0.000 0.000
4 Te 0.500 0.500 0.500
5 Al 0.000 0.000 0.000

***

The most stable of them is x.

***

--- w ---
VASP calculation (PBE-GGA) on ThAlOs2 after structural relaxation.

Values from the calculation:
Density of states at the Fermi level   3.72 states/eV/cell

abc: 4.505 4.505 5.544
angles: 66.03 66.03 60.00
Element x y z (fractional)
1 Os 0.317 0.317 0.050
2 Os 0.683 0.683 0.950
3 Th 0.500 0.500 0.500
4 Al 0.000 0.000 0.000

***

--- x ---
VASP calculation (PBE-GGA) on ThAlOs2 after structural relaxation.

Values from the calculation:
Density of states at the Fermi level   18.95 states/eV/cell

abc: 7.235 5.849 8.396
angles: 90.00 90.00 90.00
Element x y z (fractional)
1 Os 0.705 0.750 0.963
2 Os 0.000 0.500 0.000
3 Os 0.500 0.500 0.500
4 Os 0.295 0.250 0.037
5 Os 0.000 0.000 0.000
6 Os 0.705 0.250 0.037
7 Os 0.500 0.000 0.500
8 Os 0.295 0.750 0.963
9 Th 0.500 0.250 0.780
10 Th 0.500 0.750 0.220
11 Th 0.000 0.250 0.676
12 Th 0.000 0.750 0.324
13 Al 0.500 0.250 0.271
14 Al 0.000 0.750 0.749
15 Al 0.000 0.250 0.251
16 Al 0.500 0.750 0.729

***

The most stable of them is w.

***

--- w ---
VASP calculation (PBE-GGA) on Th4AlOs after structural relaxation.

Values from the calculation:
Density of states at the Fermi level   12.95 states/eV/cell

abc: 5.452 6.408 10.484
angles: 90.00 105.07 90.00
Element x y z (fractional)
1 Th 0.294 0.065 0.587
2 Th 0.706 0.079 0.413
3 Th 0.706 0.565 0.413
4 Th 0.294 0.579 0.587
5 Th 0.099 0.822 0.198
6 Th 0.901 0.322 0.802
7 Th 0.448 0.822 0.896
8 Th 0.552 0.322 0.104
9 Os 0.583 0.822 0.166
10 Os 0.417 0.322 0.834
11 Al 0.848 0.822 0.697
12 Al 0.152 0.322 0.303

***

--- x ---
VASP calculation (PBE-GGA) on Th4AlOs after structural relaxation.

Values from the calculation:
Density of states at the Fermi level   16.02 states/eV/cell

abc: 6.010 7.373 7.373
angles: 90.00 90.00 90.00
Element x y z (fractional)
1 Th 0.000 0.824 0.351
2 Th 0.500 0.649 0.176
3 Th 0.500 0.176 0.351
4 Th 0.500 0.351 0.824
5 Th 0.000 0.649 0.824
6 Th 0.000 0.351 0.176
7 Th 0.500 0.824 0.649
8 Th 0.000 0.176 0.649
9 Al 0.250 0.000 0.000
10 Al 0.750 0.000 0.000
11 Os 0.750 0.500 0.500
12 Os 0.250 0.500 0.500

***

The most stable of them is x.

***

--- w ---
VASP calculation (PBE-GGA) on TiAl2Os2 after structural relaxation.

Values from the calculation:
Density of states at the Fermi level   5.62 states/eV/cell

abc: 7.057 7.057 3.046
angles: 90.00 90.00 90.00
Element x y z (fractional)
1 Ti 0.000 0.000 0.000
2 Ti 0.500 0.500 0.000
3 Os 0.349 0.849 0.000
4 Os 0.151 0.349 0.000
5 Os 0.651 0.151 0.000
6 Os 0.849 0.651 0.000
7 Al 0.354 0.146 0.500
8 Al 0.146 0.646 0.500
9 Al 0.646 0.854 0.500
10 Al 0.854 0.354 0.500

***

--- x ---
VASP calculation (PBE-GGA) on TiAl2Os2 after structural relaxation.

Values from the calculation:
Density of states at the Fermi level   9.36 states/eV/cell

abc: 7.172 7.172 2.887
angles: 90.00 90.00 90.00
Element x y z (fractional)
1 Ti 0.500 0.500 0.000
2 Ti 0.000 0.000 0.000
3 Os 0.673 0.827 0.500
4 Os 0.327 0.173 0.500
5 Os 0.827 0.327 0.500
6 Os 0.173 0.673 0.500
7 Al 0.374 0.874 0.000
8 Al 0.874 0.626 0.000
9 Al 0.126 0.374 0.000
10 Al 0.626 0.126 0.000

***

--- y ---
VASP calculation (PBE-GGA) on TiAl2Os2 after structural relaxation.

Values from the calculation:
Density of states at the Fermi level   0.96 states/eV/cell

abc: 3.079 3.032 8.476
angles: 79.70 90.00 90.00
Element x y z (fractional)
1 Ti 0.000 0.000 0.000
2 Os 0.500 0.594 0.812
3 Os 0.500 0.406 0.188
4 Al 0.000 0.822 0.356
5 Al 0.000 0.178 0.644

***

The most stable of them is y.

***

--- w ---
VASP calculation (PBE-GGA) on TiAl3Os after structural relaxation.

Values from the calculation:
Density of states at the Fermi level   8.29 states/eV/cell

abc: 4.676 4.676 4.676
angles: 90.00 90.00 90.00
Site moments in Bohr magnetons follow the coordinates.
Element x y z (fractional)
1 Al 0.000 0.000 0.500  -0.02
2 Al 0.000 0.500 0.000  -0.01
3 Al 0.500 0.000 0.000  0.00
4 Os 0.000 0.000 0.000  -0.01
5 Ti 0.500 0.500 0.500  1.28

***

--- x ---
VASP calculation (PBE-GGA) on TiAl3Os after structural relaxation.

Values from the calculation:
Density of states at the Fermi level   11.52 states/eV/cell

abc: 6.154 6.154 6.154
angles: 90.00 90.00 90.00
Site moments in Bohr magnetons follow the coordinates.
Element x y z (fractional)
1 Al 0.221 0.779 0.221  0.00
2 Al 0.779 0.779 0.221  0.00
3 Al 0.221 0.779 0.779  0.00
4 Al 0.779 0.221 0.779  0.00
5 Al 0.221 0.221 0.221  0.00
6 Al 0.779 0.779 0.779  0.00
7 Al 0.779 0.221 0.221  0.00
8 Al 0.221 0.221 0.779  0.00
9 Al 0.500 0.500 0.500  -0.01
10 Ti 0.500 0.500 0.000  0.26
11 Ti 0.500 0.000 0.500  0.26
12 Ti 0.000 0.500 0.500  0.26
13 Os 0.500 0.000 0.000  0.03
14 Os 0.000 0.500 0.000  0.03
15 Os 0.000 0.000 0.500  0.03

***

The most stable of them is x.

***

--- w ---
VASP calculation (PBE-GGA) on Tm2AlOs after structural relaxation.

Values from the calculation:
Density of states at the Fermi level   3.81 states/eV/cell

abc: 4.863 5.763 8.307
angles: 71.51 72.98 65.05
Element x y z (fractional)
1 Tm 0.177 0.235 0.412
2 Tm 0.177 0.735 0.912
3 Tm 0.823 0.765 0.588
4 Tm 0.823 0.265 0.088
5 Al 0.501 0.250 0.750
6 Al 0.499 0.750 0.250
7 Os 0.001 0.250 0.750
8 Os 0.999 0.750 0.250

***

--- x ---
VASP calculation (PBE-GGA) on Tm2AlOs after structural relaxation.

Values from the calculation:
Density of states at the Fermi level   1.63 states/eV/cell

abc: 3.452 3.452 6.973
angles: 90.00 90.00 90.00
Element x y z (fractional)
1 Al 0.500 0.500 0.500
2 Tm 0.000 0.000 0.230
3 Tm 0.000 0.000 0.770
4 Os 0.500 0.500 0.000

***

The most stable of them is x.